1.
Density functional theory data (PBE) for an optimized crystal structure of LaBePt3.

```
20
Lattice="-7.6616 -9.6495 -6.9077 1.3892 -7.2888 -0.4084 2.5485 -0.5281 6.9605" Properties=species:S:1:pos:R:3 pbc="T T T"
Be -3.5132 -9.4044 -0.1052
Be -0.2107 -8.0620 -0.2504
Be -2.7314 -10.9564 1.1956
Be -0.9925 -6.5100 -1.5512
Pt -2.3481 -7.3413 0.0903
Pt -5.3542 -10.1259 -1.4253
Pt -1.3758 -10.1251 -0.4458
Pt 1.6303 -7.3405 1.0697
Pt 0.0227 -2.4722 0.1072
Pt -0.5593 -8.8919 1.9203
Pt -3.7466 -14.9942 -0.4627
Pt -3.1646 -8.5745 -2.2759
Pt -5.1719 -12.6742 -5.6041
Pt -4.1339 -10.6719 -3.8389
Pt 1.4480 -4.7922 5.2485
Pt 0.4100 -6.7946 3.4834
La -0.9700 -5.0578 1.4438
La 0.6952 -2.2950 3.7392
La -2.7539 -12.4086 -1.7994
La -4.4191 -15.1714 -4.0948
```

Fermi-level density of states = 5.63 states/eV per cell
energy of formation from the pure elements = -0.83 eV/atom
space group = C2/c (15)
offset from the most stable computed form = 0.121 eV per atom

---

2.
Density functional theory data (PBE) for an optimized crystal structure of LaBePt2.

```
8
Lattice="-4.8344 -1.0330 -0.2158 0.8674 -4.4657 1.9469 -2.8738 0.0115 7.5949" Properties=species:S:1:pos:R:3 pbc="T T T"
Be -1.9835 -2.7494 0.8656
Be -1.9950 -3.6018 5.2037
Pt -2.7769 -1.0184 2.0454
Pt -1.6354 -3.1000 3.0504
Pt -3.4897 -2.8429 6.6896
Pt -5.7799 -4.0133 6.8667
La 0.0000 0.0000 0.0000
La -4.8459 -1.8855 4.1224
```

Fermi-level density of states = 3.02 states/eV per cell
energy of formation from the pure elements = -0.67 eV/atom
space group = I-42d (122)

---

3.
Density functional theory data (PBE) for an optimized crystal structure of LaBePt3.

```
10
Lattice="-2.9872 2.1746 6.2454 -3.3387 0.2579 -6.4377 -1.9606 -5.0342 0.8151" Properties=species:S:1:pos:R:3 pbc="T T T"
Be -3.7796 -0.7321 -4.4570
Be -4.5069 -1.8696 5.0799
Pt -4.8261 0.6049 1.2830
Pt -2.4129 -0.3231 1.3563
Pt -5.8736 -2.2786 -0.7335
Pt -3.4604 -3.2066 -0.6601
Pt 0.0000 0.0000 0.0000
Pt -0.9803 -2.5171 0.4076
La -3.6946 -0.2688 -1.3911
La -4.5919 -2.3329 2.0139
```

Fermi-level density of states = 5.15 states/eV per cell
energy of formation from the pure elements = -0.37 eV/atom
space group = Cmcm (63)
offset from the most stable computed form = 0.586 eV per atom

---

4.
Density functional theory data (PBE) for an optimized crystal structure of LaBePt3.

```
10
Lattice="6.6039 -0.0001 0.0316 0.0002 4.1089 -0.0001 1.4498 0.0001 6.4342" Properties=species:S:1:pos:R:3 pbc="T T T"
Be 2.8005 0.2067 5.3252
Be 5.9933 2.2611 4.5665
Pt 1.2061 0.2050 1.1216
Pt 7.4332 0.2054 4.0312
Pt 1.3597 2.2601 5.8607
Pt 4.0682 2.2602 5.9244
Pt 6.1366 2.2595 2.3359
Pt 4.7248 0.2058 3.9671
La 4.6557 0.2059 0.5596
La 2.6871 2.2601 2.8979
```

Fermi-level density of states = 4.55 states/eV per cell
energy of formation from the pure elements = -0.88 eV/atom
space group = P2_1/m (11)
offset from the most stable computed form = 0.067 eV per atom

---

5.
Density functional theory data (PBE) for an optimized crystal structure of LaBe2Pt2.

```
10
Lattice="7.4201 0.0000 0.0000 0.0000 7.4201 0.0000 0.0000 0.0000 2.8511" Properties=species:S:1:pos:R:3 pbc="T T T"
Be 2.9141 6.6242 0.0000
Be 6.6242 4.5060 0.0000
Be 4.5060 0.7960 0.0000
Be 0.7960 2.9141 0.0000
Pt 1.2234 4.9334 1.4255
Pt 4.9334 6.1968 1.4255
Pt 6.1968 2.4867 1.4255
Pt 2.4867 1.2234 1.4255
La 0.0000 0.0000 0.0000
La 3.7101 3.7101 0.0000
```

Fermi-level density of states = 7.35 states/eV per cell
energy of formation from the pure elements = -0.53 eV/atom
space group = P4/mbm (127)
offset from the most stable computed form = 0.296 eV per atom

---

6.
Density functional theory data (PBE) for an optimized crystal structure of LaBePt2.

```
4
Lattice="-2.1426 2.8319 3.1482 -4.0251 -1.3944 2.0917 -0.0070 -1.1479 4.6047" Properties=species:S:1:pos:R:3 pbc="T T T"
Be -3.0874 0.1448 4.9223
Pt 0.0000 0.0000 0.0000
Pt -1.5437 0.0724 2.4612
La -4.6310 0.2172 7.3835
```

Fermi-level density of states = 2.85 states/eV per cell
energy of formation from the pure elements = -0.28 eV/atom
space group = F-43m (216)

---

7.
Density functional theory data (PBE) for an optimized crystal structure of LaBePt.

```
3
Lattice="-3.9157 2.5025 0.3838 -3.9635 -1.5675 -1.8911 -3.4616 -1.4932 2.7441" Properties=species:S:1:pos:R:3 pbc="T T T"
Be 0.0000 0.0000 0.0000
Pt -8.5056 -0.4187 0.9276
La -5.6704 -0.2791 0.6184
```

Fermi-level density of states = 2.78 states/eV per cell
energy of formation from the pure elements = -0.31 eV/atom
space group = F-43m (216)
offset from the most stable computed form = 0.458 eV per atom

---

8.
Density functional theory data (PBE) for an optimized crystal structure of LaBePt3.

```
10
Lattice="-2.2725 -7.0552 -0.3985 5.1387 -1.5444 -1.9549 3.2669 -3.5531 3.0531" Properties=species:S:1:pos:R:3 pbc="T T T"
Be 3.0294 -5.9714 2.6598
Be 1.7167 -8.4681 1.1842
Pt 0.5942 -4.4750 -0.8965
Pt 3.4131 -3.8258 1.9727
Pt 2.1685 -6.1925 0.5726
Pt 1.8372 -2.1016 0.4997
Pt 3.0746 -5.2202 -1.8399
Pt 4.3209 -2.8479 -0.4450
La 4.0340 -11.0839 0.9987
La 4.3671 -7.7163 -0.7855
```

Fermi-level density of states = 2.18 states/eV per cell
energy of formation from the pure elements = -0.88 eV/atom
space group = Cm (8)
offset from the most stable computed form = 0.070 eV per atom

---

9.
Density functional theory data (PBE) for an optimized crystal structure of LaBePt3.

```
10
Lattice="3.8295 0.0000 4.6672 -1.9147 3.3164 4.6672 -1.9147 -3.3164 4.6672" Properties=species:S:1:pos:R:3 pbc="T T T"
Be 0.0000 0.0000 0.2668
Be 0.0000 0.0000 7.2675
Pt -2.0989 -0.0008 8.0664
Pt -0.8659 1.4983 5.7328
Pt -0.8646 -1.4991 5.7328
Pt 1.7305 0.0008 5.7328
Pt 1.0488 1.8181 8.0664
Pt 1.0501 -1.8173 8.0664
La 0.0000 0.0000 3.2809
La 0.0000 0.0000 10.2816
```

Fermi-level density of states = 4.23 states/eV per cell
energy of formation from the pure elements = -0.88 eV/atom
space group = R3m (160)
offset from the most stable computed form = 0.073 eV per atom

---

10.
Density functional theory data (PBE) for an optimized crystal structure of LaBePt2.

```
4
Lattice="-2.2707 0.8599 3.2232 -0.4640 -2.7308 2.9347 3.5603 1.4178 4.6501" Properties=species:S:1:pos:R:3 pbc="T T T"
Be 1.3563 0.2039 5.9552
Pt 3.0706 1.1942 4.3661
Pt 0.0776 -0.5870 7.7920
La 0.2942 -0.0728 2.7489
```

Fermi-level density of states = 2.14 states/eV per cell
energy of formation from the pure elements = -0.79 eV/atom
space group = Cm (8)

---

11.
Density functional theory data (PBE) for an optimized crystal structure of LaBePt.

```
3
Lattice="5.8637 -0.0105 0.0114 4.9759 3.1025 0.0058 0.8879 0.2591 3.1022" Properties=species:S:1:pos:R:3 pbc="T T T"
Be 1.3706 0.3965 2.9526
Pt 7.0668 2.0180 1.1868
La 4.1780 1.1957 2.0823
```

Fermi-level density of states = 1.98 states/eV per cell
energy of formation from the pure elements = -0.50 eV/atom
space group = I4mm (107)
offset from the most stable computed form = 0.277 eV per atom

---

12.
Density functional theory data (PBE) for an optimized crystal structure of LaBeRe2Pt.

```
5
Lattice="4.7815 0.0000 0.0000 0.0000 4.3972 0.0000 0.0000 0.0000 4.7815" Properties=species:S:1:pos:R:3 pbc="T T T"
Re 0.0000 0.0000 2.3908
Re 2.3908 0.0000 0.0000
Be 0.0000 2.1986 0.0000
Pt 2.3908 2.1986 2.3908
La 0.0000 0.0000 0.0000
```

Fermi-level density of states = 8.32 states/eV per cell
energy of formation from the pure elements = 2.65 eV/atom
space group = P4/mmm (123)

---

13.
Density functional theory data (PBE) for an optimized crystal structure of LaBePt2Rh.

```
5
Lattice="-1.6734 2.7757 -2.9952 -4.0594 -0.7790 1.5460 0.4421 3.3300 2.8389" Properties=species:S:1:pos:R:3 pbc="T T T"
Be 0.0000 0.0000 0.0000
Rh 0.2211 1.6650 1.4195
Pt -2.0297 -0.3895 0.7730
Pt -0.8367 1.3879 -1.4976
La -2.6453 2.6633 0.6949
```

Fermi-level density of states = 0.76 states/eV per cell
energy of formation from the pure elements = -0.81 eV/atom
space group = P4/mmm (123)

---

no.,calculated density (Mg/m³)
1,13.15
2,9.96
3,10.24
4,13.96
5,11.57
6,11.82
7,7.95
8,12.99
9,13.69
10,11.41
11,10.07
12,11.82
13,12.43